Entry 1:
# Pm4ZnIr

An optimized crystal structure of Pm4ZnIr (PBE, Alexandria via LeMat-Bulk).

Geometry as POSCAR:
```
Pm4ZnIr
1.0
0.000 6.906 6.906
6.906 0.000 6.906
6.906 6.906 0.000
Pm Zn Ir
16 4 4
Direct
0.188 0.188 0.812
0.188 0.812 0.188
0.188 0.812 0.812
0.398 0.398 0.398
0.398 0.398 0.806
0.398 0.806 0.398
0.557 0.557 0.943
0.557 0.943 0.557
0.557 0.943 0.943
0.806 0.398 0.398
0.812 0.188 0.188
0.812 0.188 0.812
0.812 0.812 0.188
0.943 0.557 0.557
0.943 0.557 0.943
0.943 0.943 0.557
0.172 0.172 0.172
0.172 0.172 0.484
0.172 0.484 0.172
0.484 0.172 0.172
0.177 0.608 0.608
0.608 0.177 0.608
0.608 0.608 0.177
0.608 0.608 0.608
```

The formation energy is -417 meV per atom. The energy above the most stable polymorph in this dataset is 0.00 eV/f.u. The density of states at the Fermi level comes out at 16.7 states/eV per cell. As for the spin magnetization: 0.0 μB/cell.

Entry 2:
# CoPPtCl2

An optimized crystal structure of CoPPtCl2 (PBE, Alexandria via LeMat-Bulk).

Geometry as POSCAR:
```
CoPPtCl2
1.0
4.523 0.000 0.000
0.000 4.523 0.000
0.000 0.000 4.374
Co P Pt Cl
1 1 1 2
Direct
0.000 0.000 0.000
0.000 0.000 0.500
0.500 0.500 0.500
0.000 0.500 0.000
0.500 0.000 0.000
```

The energy above the most stable polymorph in this dataset is 0.00 eV/f.u. The density of states at the Fermi level comes out at 5.2 states/eV per cell. As for the spin magnetization: 0.3 μB/cell. The formation energy without anion corrections is 62.6 kJ/mol of atoms.

Entry 3:
# Ca4HgBi3

An optimized crystal structure of Ca4HgBi3 (PBE, Alexandria via LeMat-Bulk).

Geometry as POSCAR:
```
Ca4HgBi3
1.0
-2.761 2.761 8.099
2.761 -2.761 8.099
2.761 2.761 -8.099
Ca Hg Bi
4 1 3
Direct
0.127 0.627 0.500
0.373 0.873 0.500
0.627 0.127 0.500
0.873 0.373 0.500
0.000 0.000 0.000
0.242 0.242 0.000
0.500 0.500 0.000
0.758 0.758 0.000
```

The formation energy is -713 meV per atom. The density of states at the Fermi level comes out at 2.8 states/eV per cell. As for the spin magnetization: 0.0 μB/cell.

Entry 4:
# LaIr3

An optimized crystal structure of LaIr3 (PBE, Alexandria via LeMat-Bulk).

Geometry as POSCAR:
```
LaIr3
1.0
4.432 0.000 0.000
0.000 7.632 0.000
0.000 0.000 5.213
La Ir
2 6
Direct
0.250 0.250 0.098
0.750 0.750 0.902
0.250 0.065 0.597
0.250 0.435 0.597
0.250 0.750 0.423
0.750 0.250 0.577
0.750 0.565 0.403
0.750 0.935 0.403
```

The formation energy is -346 meV per atom. The density of states at the Fermi level comes out at 9.2 states/eV per cell. As for the spin magnetization: 0.0 μB/cell.